Computed, not measured: an optimized crystal structure of PmMnO2 at the PBE+U level of DFT. Values from VASP.

- Polymorph energy (0 for the lowest one): 200 meV per atom
- Total magnetization: 1.180 μB/atom
- Symmetry: P2_1/c
- Density: 6.10 g/cm3
- Fermi-level density of states: 1.31 states/eV/f.u.

The structure in Quantum ESPRESSO input format:
```
&SYSTEM
  ibrav = 0, nat = 16, ntyp = 3
/
ATOMIC_SPECIES
Pm 145.00 Pm.upf
Mn 54.94 Mn.upf
O 16.00 O.upf
CELL_PARAMETERS angstrom
5.892 0.000 0.000
0.000 6.901 0.000
-1.160 0.000 6.215
ATOMIC_POSITIONS crystal
Pm 0.212 0.128 0.360
Pm 0.212 0.372 0.860
Pm 0.788 0.628 0.140
Pm 0.788 0.872 0.640
Mn 0.320 0.651 0.478
Mn 0.320 0.849 0.978
Mn 0.680 0.151 0.022
Mn 0.680 0.349 0.522
O 0.034 0.680 0.892
O 0.034 0.820 0.392
O 0.492 0.162 0.691
O 0.492 0.338 0.191
O 0.508 0.662 0.809
O 0.508 0.838 0.309
O 0.966 0.180 0.608
O 0.966 0.320 0.108
```